Below is Mg4Si3 after structural relaxation, with properties calculated at the PBE-GGA level.

a b c (Å): 4.946 7.405 8.328
angles (deg): 95.40 99.61 100.01
Positions (direct):
Mg 0.000 0.000 0.000
Mg 0.021 0.011 0.390
Mg 0.120 0.325 0.654
Mg 0.156 0.614 0.217
Mg 0.499 0.336 0.087
Mg 0.601 0.051 0.693
Mg 0.705 0.614 0.824
Mg 0.728 0.614 0.444
Si 0.070 0.890 0.692
Si 0.283 0.662 0.571
Si 0.466 0.001 0.208
Si 0.576 0.241 0.429
Si 0.674 0.746 0.143
Si 0.946 0.340 0.944

formation energy from raw total energies = 0.050 eV/atom
E above lowest polymorph = 0.0822 eV per atom